First-principles (PBE-GGA) data for an optimized crystal structure of LiCa2TmS4, as listed in Alexandria via LeMat-Bulk.

Cell lengths 6.7769, 3.9574, 6.7912 Å; angles 90.00, 108.70, 90.00 degrees
Closest atoms and distances in Å follow each position.
Space group P2/m (No. 10)
Unique sites:
Li 0.0000 0.0000 0.0000 [1 per cell]  6 S 2.70-2.78
Ca 0.0000 0.5000 0.5000 [1 per cell]  6 S 2.82-2.86
Ca 0.5000 0.0000 0.5000 [1 per cell]  6 S 2.81-2.82
Tm 0.5000 0.5000 0.0000 [1 per cell]  6 S 2.69-2.74
S 0.2529 0.5000 0.2406 [2 per cell]  1 Tm 2.69, 2 Li 2.78, 3 Ca 2.82
S 0.2556 0.0000 0.7653 [2 per cell]  1 Li 2.70, 2 Tm 2.74, 3 Ca 2.81-2.86

Output
The value obtained for the mass density is 3.699 g/cm³. The value obtained for the calculated volume is 172.5 Å³ per cell. The calculation puts the uncorrected formation energy at -15.79 eV/f.u. The spin magnetization is 0.00 μB per formula unit.


First-principles (PBE-GGA) data for an optimized crystal structure of LiCa3Tm3S8, as listed in Alexandria via LeMat-Bulk.

Cell lengths 7.7950, 7.7950, 19.4673 Å; angles 90.00, 90.00, 120.00 degrees
Closest atoms and distances in Å follow each position.
Space group R-3m (No. 166, hexagonal axes)
Unique sites:
Li 0.0000 0.0000 0.0000 [3 per cell]  6 S 2.71
Ca 0.0000 0.5000 0.5000 [9 per cell]  6 S 2.82-2.85
Tm 0.0000 0.5000 0.0000 [9 per cell]  6 S 2.70-2.73
S 0.0000 0.0000 0.2536 [6 per cell]  3 Tm 2.73, 3 Ca 2.82
S 0.0006 0.5003 0.2564 [18 per cell]  2 Tm 2.70, 1 Li 2.71, 2 Ca 2.85

Output
The value obtained for the mass density is 4.330 g/cm³. The value obtained for the calculated volume is 1024.4 Å³ per cell. The calculation puts the uncorrected formation energy at -29.61 eV/f.u. The spin magnetization is 0.00 μB per formula unit.


First-principles (PBE-GGA) data for an optimized crystal structure of LiCaUS4, as listed in Alexandria via LeMat-Bulk.

Cell lengths 7.9304, 8.0513, 11.2009 Å; angles 90.00, 90.00, 90.00 degrees
Closest atoms and distances in Å follow each position.
Space group Imma (No. 74)
Unique sites:
Li 0.0000 0.2500 0.1440 [4 per cell]  4 S 2.50-2.71
Ca 0.2500 0.2500 0.7500 [4 per cell]  6 S 2.81-2.84
U 0.0000 0.0000 0.5000 [4 per cell]  6 S 2.56-2.68
S 0.0000 0.0046 0.7283 [8 per cell]  1 Li 2.50, 1 U 2.56
S 0.2230 0.2500 0.4969 [8 per cell]  2 U 2.68, 1 Li 2.71, 1 Ca 2.84

Output
The value obtained for the mass density is 3.839 g/cm³. The value obtained for the calculated volume is 715.2 Å³ per cell. The calculation puts the uncorrected formation energy at -10.64 eV/f.u. The spin magnetization is 1.00 μB per formula unit.


Among the records above, which one has the lowest calculated volume? LiCa2TmS4